Cs2TbBSe4: relaxed, PBE.

Output
* calculated volume: 38.21 Å³/atom
* space group: Fddd (70)
* DOS at the Fermi energy: 0.0 states/eV/f.u.
* formation energy from raw total energies: -1.03 eV/atom

Lattice parameters (Å, degrees): 6.0926 8.2327 13.4688 85.20 76.93 68.28
With the nearest neighbours (Å) after each atom.
Atoms (fractional coordinates):
Cs (0.1782, 0.0000, 0.6437)  6 Se 3.68-4.11
Cs (0.8218, 0.0000, 0.3563)  6 Se 3.68-4.11
Cs (0.5718, 0.5000, 0.8563)  6 Se 3.68-4.11
Cs (0.9282, 0.5000, 0.1437)  6 Se 3.68-4.11
Tb (0.7500, 0.5000, 0.5000)  4 Se 2.68
Tb (0.0000, 0.0000, 0.0000)  4 Se 2.68
B (0.2500, 0.5000, 0.5000)  4 Se 2.15
B (0.5000, 0.0000, 0.0000)  4 Se 2.15
Se (0.3556, 0.8292, 0.0991)  1 B 2.15
Se (0.2838, 0.1708, 0.9009)  1 B 2.15
Se (0.8153, 0.8292, 0.9009)  1 B 2.15
Se (0.5453, 0.1708, 0.0991)  1 B 2.15
Se (0.3944, 0.6708, 0.4009)  1 B 2.15
Se (0.4662, 0.3292, 0.5991)  1 B 2.15
Se (0.9347, 0.6708, 0.5991)  1 B 2.15
Se (0.2047, 0.3292, 0.4009)  1 B 2.15

=====

CsTb2B2Se6: relaxed, PBE.

Output
* calculated volume: 30.71 Å³/atom
* space group: C2/m (12)
* DOS at the Fermi energy: 3.7 states/eV/f.u.
* formation energy from raw total energies: -0.85 eV/atom

Lattice parameters (Å, degrees): 7.3203 7.8466 7.7351 116.86 89.98 62.20
With the nearest neighbours (Å) after each atom.
Atoms (fractional coordinates):
Cs (0.5000, 0.0000, 0.5000)  8 Se 3.99-4.29, 2 B 4.18, 4 Tb 4.39
Tb (0.8325, 0.3348, 0.8323)  6 Se 2.86-2.94
Tb (0.1675, 0.6652, 0.1677)  6 Se 2.86-2.94
B (0.1523, 0.6960, 0.7581)  3 Se 1.96-1.99
B (0.8477, 0.3040, 0.2419)  3 Se 1.96-1.99
Se (0.4039, 0.6552, 0.8637)  1 B 1.96
Se (0.0580, 0.3457, 0.1368)  1 B 1.96
Se (0.0721, 0.8563, 0.6059)  1 B 1.99
Se (0.9420, 0.6543, 0.8632)  1 B 1.96
Se (0.9279, 0.1437, 0.3941)  1 B 1.99
Se (0.5961, 0.3448, 0.1363)  1 B 1.96

=====

Cs2TbB2Se6: relaxed, PBE.

Output
* calculated volume: 33.21 Å³/atom
* space group: C2/m (12)
* DOS at the Fermi energy: 5.1 states/eV/f.u.
* formation energy from raw total energies: -0.78 eV/atom

Lattice parameters (Å, degrees): 7.1447 7.1450 9.2408 112.80 90.00 120.00
With the nearest neighbours (Å) after each atom.
Atoms (fractional coordinates):
Cs (0.7114, 0.4228, 0.1353)  9 Se 3.75-4.02
Cs (0.2886, 0.5772, 0.8647)  9 Se 3.75-4.02
Tb (0.5000, 0.0000, 0.5000)  6 Se 2.88
B (0.9030, 0.8061, 0.7082)  3 Se 1.96
B (0.0970, 0.1939, 0.2918)  3 Se 1.96
Se (0.7519, 0.5037, 0.7275)  1 B 1.96
Se (0.2478, 0.0228, 0.2718)  1 B 1.96
Se (0.2251, 0.9772, 0.7282)  1 B 1.96
Se (0.7522, 0.9772, 0.7282)  1 B 1.96
Se (0.7749, 0.0228, 0.2718)  1 B 1.96
Se (0.2481, 0.4963, 0.2725)  1 B 1.96

=====

Cs2TiBSe4: relaxed, PBE.

Output
* calculated volume: 34.94 Å³/atom
* space group: Fddd (70)
* DOS at the Fermi energy: 0.8 states/eV/f.u.
* formation energy from raw total energies: -0.88 eV/atom

Lattice parameters (Å, degrees): 6.0384 7.7891 13.2427 84.93 76.82 67.19
With the nearest neighbours (Å) after each atom.
Atoms (fractional coordinates):
Cs (0.1767, 0.0000, 0.6466)  8 Se 3.72-4.12
Cs (0.8233, 0.0000, 0.3534)  8 Se 3.72-4.12
Cs (0.5733, 0.5000, 0.8534)  8 Se 3.72-4.12
Cs (0.9267, 0.5000, 0.1466)  8 Se 3.72-4.12
Ti (0.7500, 0.5000, 0.5000)  4 Se 2.45
Ti (0.0000, 0.0000, 0.0000)  4 Se 2.45
B (0.2500, 0.5000, 0.5000)  4 Se 2.11
B (0.5000, 0.0000, 0.0000)  4 Se 2.11
Se (0.3293, 0.8333, 0.0936)  1 B 2.11
Se (0.2561, 0.1667, 0.9064)  1 B 2.11
Se (0.8374, 0.8333, 0.9064)  1 B 2.11
Se (0.5772, 0.1667, 0.0936)  1 B 2.11
Se (0.4207, 0.6667, 0.4064)  1 B 2.11
Se (0.4939, 0.3333, 0.5936)  1 B 2.11
Se (0.9126, 0.6667, 0.5936)  1 B 2.11
Se (0.1728, 0.3333, 0.4064)  1 B 2.11

=====

CsTmBSe4: relaxed, PBE.

Output
* calculated volume: 28.16 Å³/atom
* space group: P2_1/m (11)
* DOS at the Fermi energy: 1.7 states/eV/f.u.
* formation energy from raw total energies: -0.99 eV/atom

Lattice parameters (Å, degrees): 6.8432 5.8768 10.0599 90.00 103.02 90.00
With the nearest neighbours (Å) after each atom.
Atoms (fractional coordinates):
Cs (0.7485, 0.7500, 0.9620)  7 Se 3.52-3.82
Cs (0.2515, 0.2500, 0.0380)  7 Se 3.52-3.82
Tm (0.7520, 0.7500, 0.4520)  8 Se 2.82-3.09
Tm (0.2480, 0.2500, 0.5480)  8 Se 2.82-3.09
B (0.2568, 0.7500, 0.3435)  4 Se 2.02-2.14
B (0.7432, 0.2500, 0.6565)  4 Se 2.02-2.14
Se (0.9791, 0.4973, 0.6948)  1 B 2.14
Se (0.0209, 0.9973, 0.3052)  1 B 2.14
Se (0.0209, 0.5027, 0.3052)  1 B 2.14
Se (0.9791, 0.0027, 0.6948)  1 B 2.14
Se (0.4429, 0.7500, 0.2134)  1 B 2.02
Se (0.5571, 0.2500, 0.7866)  1 B 2.02
Se (0.3889, 0.7500, 0.5487)  1 B 2.06
Se (0.6111, 0.2500, 0.4513)  1 B 2.06

=====

Cs2TmBSe4: relaxed, PBE.

Output
* calculated volume: 37.51 Å³/atom
* space group: Fddd (70)
* DOS at the Fermi energy: 0.0 states/eV/f.u.
* formation energy from raw total energies: -1.04 eV/atom

Lattice parameters (Å, degrees): 6.0286 8.1831 13.4276 85.26 77.03 68.39
With the nearest neighbours (Å) after each atom.
Atoms (fractional coordinates):
Cs (0.1779, 0.0000, 0.6443)  6 Se 3.68-4.07
Cs (0.8221, 0.0000, 0.3557)  6 Se 3.68-4.07
Cs (0.5721, 0.5000, 0.8557)  6 Se 3.68-4.07
Cs (0.9279, 0.5000, 0.1443)  6 Se 3.68-4.07
Tm (0.7500, 0.5000, 0.5000)  4 Se 2.64
Tm (0.0000, 0.0000, 0.0000)  4 Se 2.64
B (0.2500, 0.5000, 0.5000)  4 Se 2.14
B (0.5000, 0.0000, 0.0000)  4 Se 2.14
Se (0.3509, 0.8295, 0.0987)  1 B 2.14
Se (0.2791, 0.1705, 0.9013)  1 B 2.14
Se (0.8196, 0.8295, 0.9013)  1 B 2.14
Se (0.5504, 0.1705, 0.0987)  1 B 2.14
Se (0.3991, 0.6705, 0.4013)  1 B 2.14
Se (0.4709, 0.3295, 0.5987)  1 B 2.14
Se (0.9304, 0.6705, 0.5987)  1 B 2.14
Se (0.1996, 0.3295, 0.4013)  1 B 2.14

=====

Cs2TmB2Se6: relaxed, PBE.

Output
* calculated volume: 32.56 Å³/atom
* space group: R-3m (166)
* DOS at the Fermi energy: 5.0 states/eV/f.u.
* formation energy from raw total energies: -0.77 eV/atom

Lattice parameters (Å, degrees): 7.0940 7.0940 9.1817 67.28 67.28 60.00
With the nearest neighbours (Å) after each atom.
Atoms (fractional coordinates):
Cs (0.7884, 0.7884, 0.6347)  9 Se 3.73-3.99
Cs (0.2116, 0.2116, 0.3653)  9 Se 3.73-3.99
Tm (0.0000, 0.0000, 0.0000)  6 Se 2.83
B (0.4012, 0.4012, 0.7965)  3 Se 1.96
B (0.5988, 0.5988, 0.2035)  3 Se 1.96
Se (0.7505, 0.7505, 0.2251)  1 B 1.96
Se (0.2740, 0.7505, 0.2251)  1 B 1.96
Se (0.7505, 0.2740, 0.2251)  1 B 1.96
Se (0.2495, 0.7260, 0.7749)  1 B 1.96
Se (0.7260, 0.2495, 0.7749)  1 B 1.96
Se (0.2495, 0.2495, 0.7749)  1 B 1.96

=====

Cs2YBSe4: relaxed, PBE.

Output
* calculated volume: 38.06 Å³/atom
* space group: Fddd (70)
* DOS at the Fermi energy: 0.0 states/eV/f.u.
* formation energy from raw total energies: -1.04 eV/atom

Lattice parameters (Å, degrees): 6.0916 8.2178 13.4483 85.18 76.91 68.25
With the nearest neighbours (Å) after each atom.
Atoms (fractional coordinates):
Cs (0.1782, 0.0000, 0.6437)  6 Se 3.68-4.10
Cs (0.8218, 0.0000, 0.3563)  6 Se 3.68-4.10
Cs (0.5718, 0.5000, 0.8563)  6 Se 3.68-4.10
Cs (0.9282, 0.5000, 0.1437)  6 Se 3.68-4.10
Y (0.7500, 0.5000, 0.5000)  4 Se 2.67
Y (0.0000, 0.0000, 0.0000)  4 Se 2.67
B (0.2500, 0.5000, 0.5000)  4 Se 2.14
B (0.5000, 0.0000, 0.0000)  4 Se 2.14
Se (0.3546, 0.8293, 0.0989)  1 B 2.14
Se (0.2828, 0.1707, 0.9011)  1 B 2.14
Se (0.8161, 0.8293, 0.9011)  1 B 2.14
Se (0.5464, 0.1707, 0.0989)  1 B 2.14
Se (0.3954, 0.6707, 0.4011)  1 B 2.14
Se (0.4672, 0.3293, 0.5989)  1 B 2.14
Se (0.9339, 0.6707, 0.5989)  1 B 2.14
Se (0.2036, 0.3293, 0.4011)  1 B 2.14

=====

Cs2ZrB2Se6: relaxed, PBE.

Output
* calculated volume: 30.91 Å³/atom
* space group: C2/m (12)
* DOS at the Fermi energy: 0.2 states/eV/f.u.
* formation energy from raw total energies: -0.69 eV/atom

Lattice parameters (Å, degrees): 7.0202 7.0241 8.7876 111.53 90.00 119.98
With the nearest neighbours (Å) after each atom.
Atoms (fractional coordinates):
Cs (0.7047, 0.4093, 0.1676)  9 Se 3.59-3.97
Cs (0.2953, 0.5907, 0.8324)  9 Se 3.59-3.97
Zr (0.5000, 0.0000, 0.5000)  6 Se 2.69-2.74
B (0.9157, 0.8313, 0.6847)  3 Se 1.96-1.98
B (0.0843, 0.1687, 0.3153)  3 Se 1.96-1.98
Se (0.7438, 0.4876, 0.6392)  1 B 1.96
Se (0.2243, 0.9751, 0.2638)  1 B 1.98
Se (0.2492, 0.0249, 0.7362)  1 B 1.98
Se (0.7757, 0.0249, 0.7362)  1 B 1.98
Se (0.7508, 0.9751, 0.2638)  1 B 1.98
Se (0.2562, 0.5124, 0.3608)  1 B 1.96

=====

CsSiB: relaxed, PBE.

Output
* calculated volume: 32.15 Å³/atom
* space group: Pnma (62)
* DOS at the Fermi energy: 1.9 states/eV/f.u.
* formation energy from raw total energies: 0.39 eV/atom

Lattice parameters (Å, degrees): 15.3055 4.2730 5.8997 90.00 90.00 90.00
With the nearest neighbours (Å) after each atom.
Atoms (fractional coordinates):
Cs (0.6366, 0.2500, 0.9986)  5 Si 3.67-3.94, 4 B 3.76-3.78
Cs (0.8634, 0.7500, 0.4986)  5 Si 3.67-3.94, 4 B 3.76-3.78
Cs (0.3634, 0.7500, 0.0014)  5 Si 3.67-3.94, 4 B 3.76-3.78
Cs (0.1366, 0.2500, 0.5014)  5 Si 3.67-3.94, 4 B 3.76-3.78
Si (0.3943, 0.2500, 0.5016)  2 B 1.94
Si (0.1057, 0.7500, 0.0016)  2 B 1.94
Si (0.6057, 0.7500, 0.4984)  2 B 1.94
Si (0.8943, 0.2500, 0.9984)  2 B 1.94
B (0.0000, 0.0000, 0.0000)  2 Si 1.94, 2 B 2.14
B (0.5000, 0.5000, 0.5000)  2 Si 1.94, 2 B 2.14
B (0.5000, 0.0000, 0.5000)  2 Si 1.94, 2 B 2.14
B (0.0000, 0.5000, 0.0000)  2 Si 1.94, 2 B 2.14

=====

CsSi3B: relaxed, PBE.

Output
* calculated volume: 35.78 Å³/atom
* space group: Pm-3m (221)
* DOS at the Fermi energy: 3.5 states/eV/f.u.
* formation energy from raw total energies: 3.11 eV/atom
* excess energy over the best structure of this formula in the dataset: 1985 meV per atom

Lattice parameters (Å, degrees): 5.6349 5.6349 5.6349 90.00 90.00 90.00
With the nearest neighbours (Å) after each atom.
Atoms (fractional coordinates):
Cs (0.0000, 0.0000, 0.0000)  6 Si 2.82
Si (0.0000, 0.5000, 0.0000)  2 Cs 2.82
Si (0.0000, 0.0000, 0.5000)  2 Cs 2.82
Si (0.5000, 0.0000, 0.0000)  2 Cs 2.82
B (0.5000, 0.5000, 0.5000)  12 Si 3.98

=====

CsSiB2: relaxed, PBE.

Output
* calculated volume: 20.45 Å³/atom
* space group: I4_1/amd (141)
* DOS at the Fermi energy: 1.6 states/eV/f.u.
* formation energy from raw total energies: 0.88 eV/atom

Lattice parameters (Å, degrees): 5.1325 5.1325 7.1919 69.09 69.09 90.00
With the nearest neighbours (Å) after each atom.
Atoms (fractional coordinates):
Cs (0.0000, 0.0000, 0.0000)  8 B 3.26, 4 Si 3.63
Cs (0.7500, 0.2500, 0.5000)  8 B 3.26, 4 Si 3.63
Si (0.5000, 0.5000, 0.0000)  4 B 2.01
Si (0.2500, 0.7500, 0.5000)  4 B 2.01
B (0.3750, 0.1250, 0.2500)  2 Si 2.01
B (0.3750, 0.6250, 0.2500)  2 Si 2.01
B (0.3750, 0.6250, 0.7500)  2 Si 2.01
B (0.8750, 0.6250, 0.7500)  2 Si 2.01